P.
Entry from the Alexandria database: crystalline Y5HoSc4 at its relaxed geometry (PBE).

The density of states at the Fermi level comes out at 15.4 states/eV/f.u. The value obtained for the size of the total moment is 0.000 μB/atom. The space group is Cm, No. 8.

Unit cell a=9.143 b=9.143 c=6.905 alpha=101.03 beta=101.03 gamma=30.68
Element x y z (fractional)
Y 0.000 0.000 0.000
Y 0.200 0.200 0.105
Y 0.395 0.395 0.687
Y 0.597 0.597 0.786
Y 0.796 0.796 0.892
Ho 0.401 0.401 0.203
Sc 0.000 0.000 0.492
Sc 0.196 0.196 0.588
Sc 0.600 0.600 0.303
Sc 0.796 0.796 0.397



Q.
Entry from the Alexandria database: crystalline Y5HoSc4 at its relaxed geometry (PBE).

The density of states at the Fermi level comes out at 12.2 states/eV/f.u. The value obtained for the size of the total moment is 0.000 μB/atom. The space group is Pmmn, No. 59.

Unit cell a=8.796 b=8.805 c=7.656 alpha=90.00 beta=90.00 gamma=90.00
Element x y z (fractional)
Y 0.059 0.059 0.201
Y 0.059 0.441 0.201
Y 0.250 0.750 0.999
Y 0.441 0.059 0.201
Y 0.441 0.441 0.201
Y 0.559 0.559 0.799
Y 0.559 0.941 0.799
Y 0.750 0.250 0.001
Y 0.941 0.559 0.799
Y 0.941 0.941 0.799
Ho 0.250 0.250 0.876
Ho 0.750 0.750 0.124
Sc 0.022 0.750 0.411
Sc 0.250 0.519 0.588
Sc 0.250 0.981 0.588
Sc 0.478 0.750 0.411
Sc 0.522 0.250 0.589
Sc 0.750 0.019 0.412
Sc 0.750 0.481 0.412
Sc 0.978 0.250 0.589



Short version: Q is the least stable of them.



P.
Entry from the Alexandria database: crystalline Y4HoSc2 at its relaxed geometry (PBE).

The density of states at the Fermi level comes out at 9.5 states/eV/f.u. The value obtained for the size of the total moment is 0.000 μB/atom. The space group is C2/m, No. 12.

Unit cell a=5.997 b=5.997 c=6.744 alpha=99.81 beta=99.81 gamma=110.53
Element x y z (fractional)
Y 0.020 0.592 0.770
Y 0.408 0.980 0.230
Y 0.592 0.020 0.770
Y 0.980 0.408 0.230
Ho 0.000 0.000 0.500
Sc 0.500 0.500 0.000
Sc 0.500 0.500 0.500



Q.
Entry from the Alexandria database: crystalline Y4HoSc2 at its relaxed geometry (PBE).

The density of states at the Fermi level comes out at 13.5 states/eV/f.u. The value obtained for the size of the total moment is 0.000 μB/atom. The space group is P2_1/m, No. 11.

Unit cell a=5.458 b=6.826 c=11.644 alpha=90.00 beta=103.56 gamma=90.00
Element x y z (fractional)
Y 0.073 0.250 0.148
Y 0.216 0.750 0.432
Y 0.355 0.000 0.710
Y 0.355 0.500 0.710
Y 0.645 0.000 0.290
Y 0.645 0.500 0.290
Y 0.784 0.250 0.568
Y 0.927 0.750 0.852
Ho 0.075 0.750 0.146
Ho 0.925 0.250 0.854
Sc 0.214 0.250 0.427
Sc 0.498 0.250 0.999
Sc 0.502 0.750 0.001
Sc 0.786 0.750 0.573



Short version: P is the least stable of them.



P.
Entry from the Alexandria database: crystalline YHoSc2 at its relaxed geometry (PBE).

The density of states at the Fermi level comes out at 6.8 states/eV/f.u. The value obtained for the size of the total moment is 0.000 μB/atom. The space group is Fm-3m, No. 225.

Unit cell a=5.411 b=5.411 c=5.411 alpha=60.00 beta=60.00 gamma=60.00
Element x y z (fractional)
Y 0.000 0.000 0.000
Ho 0.500 0.500 0.500
Sc 0.250 0.250 0.250
Sc 0.750 0.750 0.750



Q.
Entry from the Alexandria database: crystalline YHoSc2 at its relaxed geometry (PBE).

The density of states at the Fermi level comes out at 7.2 states/eV/f.u. The value obtained for the size of the total moment is 0.000 μB/atom. The space group is Cmmm, No. 65.

Unit cell a=5.820 b=5.820 c=3.449 alpha=90.00 beta=90.00 gamma=107.28
Element x y z (fractional)
Y 0.000 0.000 0.000
Ho 0.500 0.500 0.000
Sc 0.000 0.500 0.500
Sc 0.500 0.000 0.500



Short version: P is the least stable of them.



P.
Entry from the Alexandria database: crystalline YHoSc2 at its relaxed geometry (PBE).

The density of states at the Fermi level comes out at 7.1 states/eV/f.u. The value obtained for the size of the total moment is 0.000 μB/atom. The space group is R3m, No. 160.

Unit cell a=11.066 b=11.066 c=11.066 alpha=17.93 beta=17.93 gamma=17.93
Element x y z (fractional)
Y 0.000 0.000 0.000
Ho 0.834 0.834 0.834
Sc 0.418 0.418 0.418
Sc 0.583 0.583 0.583



Q.
Entry from the Alexandria database: crystalline YHoSc2 at its relaxed geometry (PBE).

The density of states at the Fermi level comes out at 6.4 states/eV/f.u. The value obtained for the size of the total moment is 0.000 μB/atom. The space group is R-3m, No. 166.

Unit cell a=11.163 b=11.163 c=11.163 alpha=17.63 beta=17.63 gamma=17.63
Element x y z (fractional)
Y 0.000 0.000 0.000
Ho 0.500 0.500 0.500
Sc 0.249 0.249 0.249
Sc 0.751 0.751 0.751



R.
Entry from the Alexandria database: crystalline YHoSc2 at its relaxed geometry (PBE).

The density of states at the Fermi level comes out at 7.4 states/eV/f.u. The value obtained for the size of the total moment is 0.000 μB/atom. The space group is P2_1/c, No. 14.

Unit cell a=6.637 b=7.995 c=8.620 alpha=90.00 beta=90.03 gamma=90.00
Element x y z (fractional)
Y 0.125 0.025 0.318
Y 0.125 0.475 0.818
Y 0.875 0.525 0.182
Y 0.875 0.975 0.682
Ho 0.375 0.530 0.181
Ho 0.375 0.970 0.681
Ho 0.625 0.030 0.319
Ho 0.625 0.470 0.819
Sc 0.125 0.667 0.491
Sc 0.125 0.833 0.991
Sc 0.374 0.168 0.008
Sc 0.374 0.332 0.508
Sc 0.626 0.668 0.492
Sc 0.626 0.832 0.992
Sc 0.875 0.167 0.009
Sc 0.875 0.333 0.509



Short version: R is the least stable of them.



P.
Entry from the Alexandria database: crystalline Y2Ho5Sc4 at its relaxed geometry (PBE).

The density of states at the Fermi level comes out at 18.1 states/eV/f.u. The value obtained for the size of the total moment is 0.000 μB/atom. The space group is C2/m, No. 12.

Unit cell a=6.768 b=6.768 c=10.102 alpha=120.00 beta=120.00 gamma=58.23
Element x y z (fractional)
Y 0.075 0.075 0.261
Y 0.925 0.925 0.739
Ho 0.073 0.610 0.332
Ho 0.390 0.927 0.668
Ho 0.500 0.500 0.000
Ho 0.610 0.073 0.332
Ho 0.927 0.390 0.668
Sc 0.244 0.244 0.028
Sc 0.401 0.401 0.631
Sc 0.599 0.599 0.369
Sc 0.756 0.756 0.972



Q.
Entry from the Alexandria database: crystalline Y2Ho5Sc4 at its relaxed geometry (PBE).

The density of states at the Fermi level comes out at 16.4 states/eV/f.u. The value obtained for the size of the total moment is 0.000 μB/atom. The space group is P2/m, No. 10.

Unit cell a=8.670 b=3.499 c=10.760 alpha=90.00 beta=95.11 gamma=90.00
Element x y z (fractional)
Y 0.075 0.000 0.137
Y 0.925 0.000 0.863
Ho 0.148 0.000 0.633
Ho 0.453 0.000 0.169
Ho 0.500 0.000 0.500
Ho 0.547 0.000 0.831
Ho 0.852 0.000 0.367
Sc 0.201 0.500 0.373
Sc 0.251 0.500 0.927
Sc 0.749 0.500 0.073
Sc 0.799 0.500 0.627



Short version: P is the least stable of them.



P.
Entry from the Alexandria database: crystalline Y4Ho2Sc at its relaxed geometry (PBE).

The density of states at the Fermi level comes out at 12.2 states/eV/f.u. The value obtained for the size of the total moment is 0.001 μB/atom. The space group is Cmce, No. 64.

Unit cell a=6.142 b=6.142 c=15.127 alpha=90.00 beta=90.00 gamma=129.22
Element x y z (fractional)
Y 0.092 0.908 0.809
Y 0.201 0.799 0.570
Y 0.299 0.701 0.070
Y 0.408 0.592 0.309
Y 0.592 0.408 0.691
Y 0.701 0.299 0.930
Y 0.799 0.201 0.430
Y 0.908 0.092 0.191
Ho 0.110 0.890 0.345
Ho 0.390 0.610 0.845
Ho 0.610 0.390 0.155
Ho 0.890 0.110 0.655
Sc 0.000 0.000 0.000
Sc 0.500 0.500 0.500



Q.
Entry from the Alexandria database: crystalline Y4Ho2Sc at its relaxed geometry (PBE).

The density of states at the Fermi level comes out at 13.1 states/eV/f.u. The value obtained for the size of the total moment is 0.000 μB/atom. The space group is P1, No. 1.

Unit cell a=6.224 b=8.346 c=9.091 alpha=84.23 beta=89.99 gamma=68.12
Element x y z (fractional)
Y 0.000 0.000 0.000
Y 0.038 0.576 0.068
Y 0.135 0.718 0.705
Y 0.278 0.440 0.419
Y 0.327 0.001 0.489
Y 0.431 0.138 0.139
Y 0.711 0.578 0.559
Y 0.754 0.144 0.635
Ho 0.186 0.288 0.780
Ho 0.563 0.858 0.854
Ho 0.611 0.434 0.924
Ho 0.846 0.289 0.279
Sc 0.472 0.717 0.209
Sc 0.902 0.860 0.349



Short version: P is the least stable of them.



P.
Entry from the Alexandria database: crystalline Y7Ho3Sc at its relaxed geometry (PBE).

The density of states at the Fermi level comes out at 18.3 states/eV/f.u. The value obtained for the size of the total moment is 0.000 μB/atom. The space group is C2/m, No. 12.

Unit cell a=9.774 b=9.774 c=11.119 alpha=90.08 beta=90.08 gamma=138.65
Element x y z (fractional)
Y 0.089 0.408 0.031
Y 0.091 0.411 0.469
Y 0.163 0.336 0.750
Y 0.251 0.251 0.250
Y 0.336 0.163 0.750
Y 0.408 0.089 0.031
Y 0.411 0.091 0.469
Y 0.589 0.909 0.531
Y 0.592 0.911 0.969
Y 0.664 0.837 0.250
Y 0.749 0.749 0.750
Y 0.837 0.664 0.250
Y 0.909 0.589 0.531
Y 0.911 0.592 0.969
Ho 0.000 0.000 0.500
Ho 0.250 0.750 0.250
Ho 0.250 0.750 0.750
Ho 0.500 0.500 0.000
Ho 0.750 0.250 0.250
Ho 0.750 0.250 0.750
Sc 0.000 0.000 0.000
Sc 0.500 0.500 0.500



Q.
Entry from the Alexandria database: crystalline Y7Ho3Sc at its relaxed geometry (PBE).

The density of states at the Fermi level comes out at 18.2 states/eV/f.u. The value obtained for the size of the total moment is 0.000 μB/atom. The space group is P3m1, No. 156.

Unit cell a=7.017 b=7.017 c=8.526 alpha=90.00 beta=90.00 gamma=120.00
Element x y z (fractional)
Y 0.000 0.000 0.000
Y 0.004 0.502 0.999
Y 0.331 0.165 0.667
Y 0.498 0.502 0.999
Y 0.498 0.996 0.999
Y 0.835 0.165 0.667
Y 0.835 0.669 0.667
Ho 0.168 0.336 0.338
Ho 0.168 0.832 0.338
Ho 0.664 0.832 0.338
Sc 0.333 0.667 0.671



Short version: Q is the least stable of them.



P.
Entry from the Alexandria database: crystalline Y3Ho6Sc2 at its relaxed geometry (PBE).

The density of states at the Fermi level comes out at 18.6 states/eV/f.u. The value obtained for the size of the total moment is 0.000 μB/atom. The space group is I4/mmm, No. 139.

Unit cell a=16.254 b=16.254 c=16.254 alpha=163.40 beta=163.40 gamma=23.56
Element x y z (fractional)
Y 0.000 0.000 0.000
Y 0.201 0.201 0.000
Y 0.799 0.799 0.000
Ho 0.115 0.615 0.500
Ho 0.309 0.309 0.000
Ho 0.385 0.885 0.500
Ho 0.615 0.115 0.500
Ho 0.691 0.691 0.000
Ho 0.885 0.385 0.500
Sc 0.456 0.456 0.000
Sc 0.544 0.544 0.000



Q.
Entry from the Alexandria database: crystalline Y3Ho6Sc2 at its relaxed geometry (PBE).

The density of states at the Fermi level comes out at 19.7 states/eV/f.u. The value obtained for the size of the total moment is 0.000 μB/atom. The space group is R-3m, No. 166.

Unit cell a=12.981 b=12.981 c=12.981 alpha=24.58 beta=24.58 gamma=24.58
Element x y z (fractional)
Y 0.000 0.000 0.000
Y 0.283 0.283 0.283
Y 0.717 0.717 0.717
Ho 0.094 0.094 0.094
Ho 0.188 0.188 0.188
Ho 0.377 0.377 0.377
Ho 0.623 0.623 0.623
Ho 0.812 0.812 0.812
Ho 0.906 0.906 0.906
Sc 0.461 0.461 0.461
Sc 0.539 0.539 0.539



Short version: P is the least stable of them.